First-principles (PBEsol) data for a relaxed TcGeSb2Te crystal, as listed in the Alexandria database.

Computed properties:
E in eV for the cell shown: -25.6

Cell and atoms, written as CIF:
```
data_TcGeSb2Te
_chemical_formula_sum 'Tc1 Ge1 Sb2 Te1'
_cell_length_a 5.026
_cell_length_b 5.026
_cell_length_c 5.255
_cell_angle_alpha 90.00
_cell_angle_beta 90.00
_cell_angle_gamma 90.00
_symmetry_space_group_name_H-M 'P 4/m m m'
_symmetry_Int_Tables_number 123
_symmetry_space_group_name_Hall '-P 4 2'
loop_
_atom_site_label
_atom_site_type_symbol
_atom_site_fract_x
_atom_site_fract_y
_atom_site_fract_z
Tc1 Tc 0.000 0.000 0.000
Ge1 Ge 0.500 0.500 0.500
Sb1 Sb 0.000 0.500 0.000
Te1 Te 0.000 0.000 0.500
```

***

First-principles (PBEsol) data for a relaxed Tc2GeSbW crystal, as listed in the Alexandria database.

Computed properties:
E in eV for the cell shown: -33.4

Cell and atoms, written as CIF:
```
data_Tc2GeSbW
_chemical_formula_sum 'Tc2 Ge1 Sb1 W1'
_cell_length_a 4.749
_cell_length_b 4.749
_cell_length_c 4.890
_cell_angle_alpha 90.00
_cell_angle_beta 90.00
_cell_angle_gamma 90.00
_symmetry_space_group_name_H-M 'P 4/m m m'
_symmetry_Int_Tables_number 123
_symmetry_space_group_name_Hall '-P 4 2'
loop_
_atom_site_label
_atom_site_type_symbol
_atom_site_fract_x
_atom_site_fract_y
_atom_site_fract_z
Tc1 Tc 0.000 0.500 0.000
Ge1 Ge 0.000 0.000 0.500
Sb1 Sb 0.000 0.000 0.000
W1 W 0.500 0.500 0.500
```

***

| no. | formation energy from raw total energies (kJ/mol of atoms) |
| --- | --- |
| 1 | 62.4 |
| 2 | 240.2 |